Entry 1:
! PmDyHf PBE optimized geometry; values from VASP
&SYSTEM
  ibrav = 0, nat = 3, ntyp = 3
/
ATOMIC_SPECIES
Pm 145.00 Pm.upf
Dy 162.50 Dy.upf
Hf 178.49 Hf.upf
ATOMIC_POSITIONS crystal
Pm 0.000 0.000 0.000
Dy 0.691 0.691 0.000
Hf 0.341 0.341 0.000
CELL_PARAMETERS angstrom
-1.685 1.685 7.582
1.685 -1.685 7.582
1.685 1.685 -7.582
! Magnetic moment, μB/cell: 0.0
! Energy relative to the lowest polymorph listed for this composition, meV per atom: 0
! Space group: No. 107
! Total DFT energy (no corrections), eV/cell: -18.890



Entry 2:
! Tb5Ni2Bi PBE optimized geometry; values from VASP
&SYSTEM
  ibrav = 0, nat = 16, ntyp = 3
/
ATOMIC_SPECIES
Tb 158.93 Tb.upf
Ni 58.69 Ni.upf
Bi 208.98 Bi.upf
ATOMIC_POSITIONS crystal
Tb 0.000 0.000 0.000
Tb 0.022 0.522 0.811
Tb 0.210 0.022 0.500
Tb 0.290 0.790 0.811
Tb 0.478 0.290 0.500
Tb 0.500 0.500 0.000
Tb 0.522 0.710 0.500
Tb 0.710 0.210 0.189
Tb 0.790 0.978 0.500
Tb 0.978 0.478 0.189
Ni 0.132 0.368 0.500
Ni 0.368 0.868 0.237
Ni 0.632 0.132 0.763
Ni 0.868 0.632 0.500
Bi 0.250 0.250 0.000
Bi 0.750 0.750 0.000
CELL_PARAMETERS angstrom
-3.868 3.868 6.789
3.868 -3.868 6.789
3.868 3.868 -6.789
! Magnetic moment, μB/cell: 0.0
! Space group: No. 140
! Total DFT energy (no corrections), eV/cell: -84.372



| no. | ΔH_f (0 K) (meV per atom) |
| --- | --- |
| 1 | 139 |
| 2 | -449 |